Computed, not measured: a relaxed Mn2WSe crystal at the GGA-PBEsol level of DFT.

```
4
Lattice="-2.755 -0.105 0.103 0.748 -0.276 -2.641 0.330 -7.763 0.906" Properties=species:S:1:pos:R:3 pbc="T T T"
Mn 0.084 -1.965 0.229
Mn 0.247 -5.798 0.677
W -1.004 -0.191 -1.269
Se -0.838 -4.072 -0.816
```

Output
**Symmetry**: Cmmm
**Magnetic moment**: 5.01 Bohr magnetons per cell
**ΔE_f (raw)**: 0.34 eV per atom
**Mass density**: 10.904 g cm⁻³
**Final energy**: -0.3292 Ha/atom